# 1
A plane-wave DFT calculation with PBE was carried out for a relaxed CdSn2Se2 crystal.

Computed properties:
Energy relative to the elements, uncorrected: -0.1472 eV/atom

a b c (Å): 8.204 8.204 3.993
angles (deg): 90.00 90.00 90.00
Sites, in units of the cell vectors:
Cd1 0.000 0.000 0.000
Cd2 0.500 0.500 0.000
Sn1 0.154 0.346 0.000
Sn2 0.346 0.846 0.000
Sn3 0.654 0.154 0.000
Sn4 0.846 0.654 0.000
Se1 0.168 0.668 0.500
Se2 0.332 0.168 0.500
Se3 0.668 0.832 0.500
Se4 0.832 0.332 0.500

# 2
A plane-wave DFT calculation with PBE was carried out for a relaxed Cd2SnSe4 crystal.

Computed properties:
Energy relative to the elements, uncorrected: -0.4977 eV/atom

a b c (Å): 7.188 7.188 7.188
angles (deg): 129.40 129.40 74.37
Sites, in units of the cell vectors:
Cd1 0.250 0.750 0.500
Cd2 0.750 0.250 0.500
Sn1 0.000 0.000 0.000
Se1 0.146 0.631 0.000
Se2 0.369 0.369 0.516
Se3 0.631 0.146 0.000
Se4 0.854 0.854 0.484

# 3
A plane-wave DFT calculation with PBE was carried out for a relaxed CdSnSe crystal.

Computed properties:
Energy relative to the elements, uncorrected: -0.2089 eV/atom

a b c (Å): 4.111 6.022 8.199
angles (deg): 91.25 104.39 90.25
Sites, in units of the cell vectors:
Cd1 0.160 0.147 0.322
Cd2 0.840 0.853 0.678
Sn1 0.410 0.563 0.824
Sn2 0.590 0.437 0.176
Se1 0.338 0.167 0.673
Se2 0.662 0.833 0.327

# 4
A plane-wave DFT calculation with PBE was carried out for a relaxed Cd2SnSe4 crystal.

Computed properties:
Energy relative to the elements, uncorrected: -0.2822 eV/atom

a b c (Å): 7.060 7.060 13.404
angles (deg): 90.00 90.00 148.30
Sites, in units of the cell vectors:
Cd1 0.131 0.869 0.567
Cd2 0.131 0.869 0.933
Cd3 0.869 0.131 0.067
Cd4 0.869 0.131 0.433
Sn1 0.381 0.619 0.750
Sn2 0.619 0.381 0.250
Se1 0.029 0.971 0.750
Se2 0.222 0.778 0.120
Se3 0.222 0.778 0.380
Se4 0.500 0.500 0.000
Se5 0.500 0.500 0.500
Se6 0.778 0.222 0.620
Se7 0.778 0.222 0.880
Se8 0.971 0.029 0.250

# 5
A plane-wave DFT calculation with PBE was carried out for a relaxed CdSn5Se6 crystal.

Computed properties:
Energy relative to the elements, uncorrected: -0.4362 eV/atom

a b c (Å): 7.347 7.347 7.391
angles (deg): 99.68 99.68 119.84
Sites, in units of the cell vectors:
Cd1 0.000 0.000 0.000
Sn1 0.164 0.836 0.500
Sn2 0.331 0.669 0.000
Sn3 0.500 0.500 0.500
Sn4 0.669 0.331 0.000
Sn5 0.836 0.164 0.500
Se1 0.080 0.402 0.241
Se2 0.242 0.242 0.749
Se3 0.402 0.080 0.241
Se4 0.598 0.920 0.759
Se5 0.758 0.758 0.251
Se6 0.920 0.598 0.759

# 6
A plane-wave DFT calculation with PBE was carried out for a relaxed Cd2SnSe crystal.

Computed properties:
Energy relative to the elements, uncorrected: -0.0677 eV/atom

a b c (Å): 7.362 7.362 7.362
angles (deg): 124.75 124.75 81.95
Sites, in units of the cell vectors:
Cd1 0.102 0.625 0.977
Cd2 0.375 0.352 0.477
Cd3 0.648 0.125 0.023
Cd4 0.875 0.898 0.523
Sn1 0.250 0.750 0.500
Sn2 0.500 0.500 0.000
Se1 0.000 0.000 0.000
Se2 0.750 0.250 0.500

# 7
A plane-wave DFT calculation with PBE was carried out for a relaxed Cd3Sn5Se12 crystal.

Computed properties:
Energy relative to the elements, uncorrected: -0.2595 eV/atom

a b c (Å): 14.426 14.426 14.426
angles (deg): 109.47 109.47 109.47
Sites, in units of the cell vectors:
Cd1 0.125 0.250 0.375
Cd2 0.125 0.375 0.750
Cd3 0.250 0.375 0.125
Cd4 0.250 0.875 0.625
Cd5 0.375 0.125 0.250
Cd6 0.375 0.750 0.125
Cd7 0.625 0.250 0.875
Cd8 0.625 0.875 0.750
Cd9 0.750 0.125 0.375
Cd10 0.750 0.625 0.875
Cd11 0.875 0.625 0.250
Cd12 0.875 0.750 0.625
Sn1 0.000 0.000 0.000
Sn2 0.000 0.000 0.500
Sn3 0.000 0.500 0.000
Sn4 0.000 0.500 0.500
Sn5 0.125 0.750 0.875
Sn6 0.125 0.875 0.250
Sn7 0.250 0.125 0.875
Sn8 0.250 0.625 0.375
Sn9 0.375 0.250 0.625
Sn10 0.375 0.625 0.750
Sn11 0.500 0.000 0.000
Sn12 0.500 0.000 0.500
Sn13 0.500 0.500 0.000
Sn14 0.500 0.500 0.500
Sn15 0.625 0.375 0.250
Sn16 0.625 0.750 0.375
Sn17 0.750 0.375 0.625
Sn18 0.750 0.875 0.125
Sn19 0.875 0.125 0.750
Sn20 0.875 0.250 0.125
Se1 0.045 0.221 0.135
Se2 0.045 0.324 0.910
Se3 0.087 0.721 0.676
Se4 0.087 0.865 0.410
Se5 0.090 0.635 0.413
Se6 0.090 0.955 0.676
Se7 0.135 0.045 0.221
Se8 0.135 0.590 0.913
Se9 0.176 0.221 0.587
Se10 0.176 0.455 0.590
Se11 0.221 0.135 0.045
Se12 0.221 0.587 0.176
Se13 0.279 0.324 0.913
Se14 0.279 0.455 0.365
Se15 0.324 0.910 0.045
Se16 0.324 0.913 0.279
Se17 0.365 0.279 0.455
Se18 0.365 0.587 0.910
Se19 0.410 0.087 0.865
Se20 0.410 0.824 0.545
Se21 0.413 0.090 0.635
Se22 0.413 0.824 0.779
Se23 0.455 0.365 0.279
Se24 0.455 0.590 0.176
Se25 0.545 0.410 0.824
Se26 0.545 0.635 0.721
Se27 0.587 0.176 0.221
Se28 0.587 0.910 0.365
Se29 0.590 0.176 0.455
Se30 0.590 0.913 0.135
Se31 0.635 0.413 0.090
Se32 0.635 0.721 0.545
Se33 0.676 0.087 0.721
Se34 0.676 0.090 0.955
Se35 0.721 0.545 0.635
Se36 0.721 0.676 0.087
Se37 0.779 0.413 0.824
Se38 0.779 0.865 0.955
Se39 0.824 0.545 0.410
Se40 0.824 0.779 0.413
Se41 0.865 0.410 0.087
Se42 0.865 0.955 0.779
Se43 0.910 0.045 0.324
Se44 0.910 0.365 0.587
Se45 0.913 0.135 0.590
Se46 0.913 0.279 0.324
Se47 0.955 0.676 0.090
Se48 0.955 0.779 0.865

# 8
A plane-wave DFT calculation with PBE was carried out for a relaxed CdSn2Se2 crystal.

Computed properties:
Energy relative to the elements, uncorrected: -0.0312 eV/atom

a b c (Å): 6.823 6.823 6.823
angles (deg): 133.62 133.62 67.67
Sites, in units of the cell vectors:
Cd1 0.000 0.000 0.000
Sn1 0.250 0.750 0.500
Sn2 0.750 0.250 0.500
Se1 0.344 0.344 0.000
Se2 0.656 0.656 0.000